Ca3TcPt PBE relaxed; energy relative to the lowest polymorph listed for this composition = 1.21 eV/f.u.; uncorrected energy = -19.47 eV/cell; formation energy = 0.588 eV per atom; SG = Pm-3m
1.0
-2.0742 -3.3805 -3.3490
3.5194 1.3689 -3.5616
3.2026 -3.6938 1.7450
Ca Tc Pt
3 1 1
direct
0.0000 0.5000 0.0000 Ca
0.0000 0.0000 0.5000 Ca
0.5000 0.0000 0.0000 Ca
0.0000 0.0000 0.0000 Tc
0.5000 0.5000 0.5000 Pt